The following is a DFT calculation (PBE) of crystalline LaHgH2 at its relaxed geometry.

Results
As for the magnetization: 0.0 μB per formula unit. As for the offset from the most stable computed form: 0.000 eV per atom. The symmetry is Fm-3m.

Lattice parameters (Å, degrees): 4.467 4.467 4.467 60.00 60.00 60.00
Fractional coordinates of all 4 atoms:
1 H 0.250 0.250 0.250
2 H 0.750 0.750 0.750
3 Hg 0.500 0.500 0.500
4 La 0.000 0.000 0.000